## Ce2TcAs (GGA-PBE)

Data for a geometry-optimized Ce2TcAs structure.

CIF file:
```
data_Ce2TcAs
_chemical_formula_sum 'Ce6 Tc3 As3'
_space_group_name_H-M_alt 'P 1'
_space_group_IT_number 1
_cell_length_a 3.1603
_cell_length_b 3.1603
_cell_length_c 29.7561
_cell_angle_alpha 90.00
_cell_angle_beta 90.00
_cell_angle_gamma 120.00
loop_
_space_group_symop_operation_xyz
'x,y,z'
loop_
_atom_site_label
_atom_site_fract_x
_atom_site_fract_y
_atom_site_fract_z
Ce1 0.0000 0.0000 0.0824
Ce2 0.0000 0.0000 0.9176
Ce3 0.3333 0.6667 0.5843
Ce4 0.3333 0.6667 0.7491
Ce5 0.6667 0.3333 0.2509
Ce6 0.6667 0.3333 0.4157
Tc1 0.0000 0.0000 0.0000
Tc2 0.3333 0.6667 0.6667
Tc3 0.6667 0.3333 0.3333
As1 0.0000 0.0000 0.5000
As2 0.3333 0.6667 0.1667
As3 0.6667 0.3333 0.8333
```

Computed properties:
Total magnetization ... 0.00 μB/cell
N(E_F) ... 20.6 states/eV/cell
VASP energy ... -6.6982 eV/atom

## ReSiP2 (GGA-PBE)

Data for a geometry-optimized ReSiP2 structure.

CIF file:
```
data_ReSiP2
_chemical_formula_sum 'Re1 Si1 P2'
_space_group_name_H-M_alt 'P 1'
_space_group_IT_number 1
_cell_length_a 3.0380
_cell_length_b 3.0380
_cell_length_c 6.8279
_cell_angle_alpha 90.00
_cell_angle_beta 90.00
_cell_angle_gamma 90.00
loop_
_space_group_symop_operation_xyz
'x,y,z'
loop_
_atom_site_label
_atom_site_fract_x
_atom_site_fract_y
_atom_site_fract_z
Re1 0.0000 0.0000 0.0000
Si1 0.5000 0.5000 0.2159
P1 0.0000 0.0000 0.3823
P2 0.5000 0.5000 0.7981
```

Computed properties:
Total magnetization ... 0.00 μB/cell
N(E_F) ... 1.6 states/eV/cell
Uncorrected formation energy ... 0.34 eV/f.u.

Question: Number 1 is which compound?
Answer: Ce2TcAs